Material: PrTaNO
Method: DFT, PBE
State: relaxed

Results
Calculated volume (Å³/atom): 15.2
ΔE to the lowest computed polymorph (eV per formula unit): 0.431
Crystal system: orthorhombic
Total magnetic moment (μB per formula unit): 0.004

```
PrTaNO
1.0
-4.048 -0.030 -0.491
0.617 -1.997 -4.964
-0.210 -5.145 2.043
Pr N O Ta
2 2 2 2
direct
0.500 0.731 0.499 Pr
0.500 0.269 0.999 Pr
0.000 0.500 0.249 N
0.000 0.500 0.749 N
0.500 0.791 0.999 O
0.500 0.209 0.499 O
0.000 0.765 0.999 Ta
0.000 0.235 0.499 Ta
```

Material: PrTaNO
Method: DFT, PBE
State: relaxed

Results
Calculated volume (Å³/atom): 15.9
ΔE to the lowest computed polymorph (eV per formula unit): 0.741
Crystal system: orthorhombic
Total magnetic moment (μB per formula unit): 0.004

```
PrTaNO
1.0
-3.118 2.133 -3.486
-4.762 0.388 4.496
2.447 6.845 2.000
Pr O Ta N
4 4 4 4
direct
0.023 0.053 0.640 Pr
0.023 0.553 0.360 Pr
0.523 0.947 0.360 Pr
0.523 0.447 0.640 Pr
0.518 0.081 0.658 O
0.518 0.581 0.342 O
0.018 0.919 0.342 O
0.018 0.419 0.658 O
0.523 0.884 0.867 Ta
0.023 0.616 0.867 Ta
0.523 0.384 0.133 Ta
0.023 0.116 0.133 Ta
0.140 0.899 0.952 N
0.640 0.601 0.952 N
0.640 0.101 0.048 N
0.140 0.399 0.048 N
```